1.
Below is Gd5Ga3 after structural relaxation, with properties calculated at the GGA-PBE level.

The structure in POSCAR format:
```
Gd5Ga3
1.0
-3.8337 3.8337 7.1748
3.8337 -3.8337 7.1748
3.8337 3.8337 -7.1748
Ga Gd
6 10
direct
0.2500 0.2500 0.0000 Ga
0.7500 0.7500 0.0000 Ga
0.8795 0.3795 0.2590 Ga
0.3795 0.1205 0.5000 Ga
0.6205 0.8795 0.5000 Ga
0.1205 0.6205 0.7410 Ga
0.0000 0.0000 0.0000 Gd
0.5000 0.5000 0.0000 Gd
0.1809 0.6809 0.1582 Gd
0.4773 0.9773 0.1582 Gd
0.0227 0.1809 0.5000 Gd
0.3191 0.4773 0.5000 Gd
0.6809 0.5227 0.5000 Gd
0.9773 0.8191 0.5000 Gd
0.5227 0.0227 0.8418 Gd
0.8191 0.3191 0.8418 Gd
```

Results
SG	I4/mcm (140)
distance to the lowest polymorph of the same formula	8	meV per atom

***

2.
Below is HfTlCuNi after structural relaxation, with properties calculated at the GGA-PBE level.

The structure in POSCAR format:
```
HfTlCuNi
1.0
-1.1977 -2.7140 3.4470
-4.3747 -0.3753 1.1844
-2.2557 -3.8619 -0.8244
Cu Hf Ni Tl
1 1 1 1
direct
0.5000 0.5000 0.5000 Cu
0.2500 0.2500 0.2500 Hf
0.7500 0.7500 0.7500 Ni
0.0000 0.0000 0.0000 Tl
```

Results
SG	F-43m (216)
distance to the lowest polymorph of the same formula	224	meV per atom

***

3.
Below is DyRe2 after structural relaxation, with properties calculated at the GGA-PBE level.

The structure in POSCAR format:
```
DyRe2
1.0
0.0000 3.8227 3.8227
3.8227 0.0000 3.8227
3.8227 3.8227 0.0000
Dy Re
2 4
direct
0.0000 0.0000 0.0000 Dy
0.2500 0.2500 0.2500 Dy
0.6250 0.6250 0.1250 Re
0.6250 0.1250 0.6250 Re
0.1250 0.6250 0.6250 Re
0.6250 0.6250 0.6250 Re
```

Results
SG	Fd-3m (227)
energy of formation	-0.1820	eV/atom

***

4.
Below is Pr2YIrPd2Pb3 after structural relaxation, with properties calculated at the GGA-PBE level.

The structure in POSCAR format:
```
Pr2YIrPd2Pb3
1.0
3.9911 0.0000 0.0000
0.0000 6.8211 3.9467
0.0000 -6.8211 3.9467
Ir Pb Pd Pr Y
1 3 2 2 1
direct
0.0000 0.9948 0.9948 Ir
0.5000 0.2609 0.2609 Pb
0.5000 0.9974 0.7392 Pb
0.5000 0.7392 0.9974 Pb
0.5000 0.6643 0.3386 Pd
0.5000 0.3386 0.6643 Pd
0.0000 0.4023 0.0004 Pr
0.0000 0.0004 0.4023 Pr
0.0000 0.6022 0.6022 Y
```

Results
SG	Amm2 (38)
raw total energy	-5.81	eV per atom

***

5.
Below is GdNbCSe after structural relaxation, with properties calculated at the GGA-PBE level.

The structure in POSCAR format:
```
GdNbCSe
1.0
-1.5147 -0.9909 -3.0668
1.2652 -2.4635 2.2387
-11.4047 -0.5708 5.8172
C Gd Nb Se
2 2 2 2
direct
0.0000 0.0000 0.0000 C
0.0000 0.0000 0.5000 C
0.3333 0.6667 0.3921 Gd
0.6667 0.3333 0.6079 Gd
0.3333 0.6667 0.0795 Nb
0.6667 0.3333 0.9205 Nb
0.6667 0.3333 0.2226 Se
0.3333 0.6667 0.7774 Se
```

Results
SG	P-3m1 (164)
distance to the lowest polymorph of the same formula	5	meV per atom

***

6.
Below is SrCdSeO after structural relaxation, with properties calculated at the GGA-PBE level.

The structure in POSCAR format:
```
SrCdSeO
1.0
4.3664 0.0000 0.0000
0.0000 4.3664 0.0000
0.0000 0.0000 9.2851
Cd O Se Sr
2 2 2 2
direct
0.2500 0.2500 0.4256 Cd
0.7500 0.7500 0.5744 Cd
0.7500 0.2500 0.5000 O
0.2500 0.7500 0.5000 O
0.2500 0.2500 0.1394 Se
0.7500 0.7500 0.8606 Se
0.7500 0.7500 0.1957 Sr
0.2500 0.2500 0.8043 Sr
```

Results
SG	P4/nmm (129)
raw total energy	-4.19	eV per atom

***

7.
Below is Tm4TlInN2 after structural relaxation, with properties calculated at the GGA-PBE level.

The structure in POSCAR format:
```
Tm4TlInN2
1.0
-1.8698 2.7949 -0.8423
-1.4730 -3.1380 -0.0090
-3.9756 1.8235 14.8762
In N Tl Tm
1 2 1 4
direct
0.0000 0.0000 0.5000 In
0.6667 0.3333 0.2496 N
0.6667 0.3333 0.7504 N
0.3333 0.6667 0.0000 Tl
0.0000 0.0000 0.1663 Tm
0.3333 0.6667 0.3342 Tm
0.3333 0.6667 0.6659 Tm
0.0000 0.0000 0.8337 Tm
```

Results
SG	P-6m2 (187)
raw total energy	-6.01	eV per atom

***

8.
Below is Ag5P2 after structural relaxation, with properties calculated at the GGA-PBE level.

The structure in POSCAR format:
```
Ag5P2
1.0
0.0000 9.8052 2.5580
4.9773 0.0000 2.5580
4.9773 9.8052 0.0000
Ag P
10 4
direct
0.5143 0.1386 0.0199 Ag
0.6720 0.5454 0.0967 Ag
0.9228 0.2301 0.1114 Ag
0.1386 0.5143 0.3272 Ag
0.5492 0.5492 0.4508 Ag
0.1533 0.5641 0.5780 Ag
0.5454 0.6720 0.6859 Ag
0.7992 0.7992 0.7008 Ag
0.5641 0.1533 0.7046 Ag
0.2301 0.9228 0.7357 Ag
0.6862 0.0383 0.1164 P
0.0383 0.6862 0.1591 P
0.0909 0.1336 0.2117 P
0.1336 0.0909 0.5638 P
```

Results
SG	Fdd2 (43)
raw total energy	-3.32	eV per atom

***

9.
Below is Pm2Au after structural relaxation, with properties calculated at the GGA-PBE level.

The structure in POSCAR format:
```
Pm2Au
1.0
7.2462 0.0000 0.0000
0.0000 5.0828 0.0000
0.0000 0.0000 9.2139
Au Pm
4 8
direct
0.2590 0.7500 0.0959 Au
0.7590 0.7500 0.4041 Au
0.2410 0.2500 0.5959 Au
0.7410 0.2500 0.9041 Au
0.8482 0.7500 0.0849 Pm
0.5078 0.2500 0.1763 Pm
0.0078 0.2500 0.3237 Pm
0.3483 0.7500 0.4151 Pm
0.6517 0.2500 0.5849 Pm
0.9922 0.7500 0.6763 Pm
0.4922 0.7500 0.8237 Pm
0.1517 0.2500 0.9151 Pm
```

Results
SG	Pnma (62)
energy of formation	-0.5728	eV/atom
distance to the lowest polymorph of the same formula	0	meV per atom

***

10.
Below is ZrNbAlNi after structural relaxation, with properties calculated at the GGA-PBE level.

The structure in POSCAR format:
```
ZrNbAlNi
1.0
0.0000 3.2243 3.2243
3.2243 0.0000 3.2243
3.2243 3.2243 0.0000
Al Nb Ni Zr
1 1 1 1
direct
0.0000 0.0000 0.0000 Al
0.2500 0.2500 0.2500 Nb
0.7500 0.7500 0.7500 Ni
0.5000 0.5000 0.5000 Zr
```

Results
SG	F-43m (216)
raw total energy	-6.99	eV per atom

***

11.
Below is LiMgIr2 after structural relaxation, with properties calculated at the GGA-PBE level.

The structure in POSCAR format:
```
LiMgIr2
1.0
3.7475 1.0757 1.8991
0.1819 3.4266 2.6520
0.5153 -0.5847 4.2661
Ir Li Mg
2 1 1
direct
0.0000 0.0000 0.0000 Ir
0.7500 0.7500 0.7500 Ir
0.5000 0.5000 0.5000 Li
0.2500 0.2500 0.2500 Mg
```

Results
SG	F-43m (216)
raw total energy	-5.45	eV per atom

***

12.
Below is ErCuTe3Pb after structural relaxation, with properties calculated at the GGA-PBE level.

The structure in POSCAR format:
```
ErCuTe3Pb
1.0
12.3599 0.0000 0.0000
0.0000 4.4216 0.0000
0.0000 0.0000 12.4268
Cu Er Pb Te
4 4 4 12
direct
0.7667 0.0000 0.2036 Cu
0.2667 0.0000 0.2964 Cu
0.7333 0.5000 0.7036 Cu
0.2333 0.5000 0.7964 Cu
0.4695 0.5000 0.1892 Er
0.9695 0.5000 0.3108 Er
0.0306 0.0000 0.6892 Er
0.5305 0.0000 0.8108 Er
0.8004 0.5000 0.0215 Pb
0.3004 0.5000 0.4785 Pb
0.6996 0.0000 0.5215 Pb
0.1996 0.0000 0.9785 Pb
0.5985 0.0000 0.0633 Te
0.9665 0.0000 0.1357 Te
0.2175 0.5000 0.1888 Te
0.7175 0.5000 0.3112 Te
0.4665 0.0000 0.3643 Te
0.0985 0.0000 0.4367 Te
0.9015 0.5000 0.5633 Te
0.5335 0.5000 0.6357 Te
0.2825 0.0000 0.6888 Te
0.7825 0.0000 0.8112 Te
0.0335 0.5000 0.8643 Te
0.4015 0.5000 0.9367 Te
```

Results
SG	Pnma (62)
distance to the lowest polymorph of the same formula	49	meV per atom